Computed, not measured: an optimized crystal structure of Y3Al5Cu at the GGA-PBE level of DFT.

Calculated values
M_tot ... 0.0 Bohr magnetons per cell
Formation enthalpy at 0 K ... -0.500 eV per atom
Uncorrected energy ... -5.19 eV/atom

Lattice parameters (Å, degrees): 6.9972 6.9972 4.3464 90.00 90.00 120.00
With the nearest neighbours (Å) after each atom.
Space group P-62m (No. 189)
One atom of each set of equivalent atoms:
1 Y 0.0000 0.4106 0.0000 [3 per cell]  1 Cu 2.87, 4 Al 3.03
2 Al 0.0000 0.7649 0.5000 [3 per cell]  2 Cu 2.73, 4 Al 2.74-2.85
3 Al 0.3333 0.6667 0.5000 [2 per cell]  3 Al 2.74, 6 Y 3.03
4 Cu 0.0000 0.0000 0.0000 [1 per cell]  6 Al 2.73, 3 Y 2.87

=====

Computed, not measured: an optimized crystal structure of Y3AlCu at the GGA-PBE level of DFT.

Calculated values
Offset from the most stable computed form ... 0 meV/atom
M_tot ... 0.0 Bohr magnetons per cell
Formation enthalpy at 0 K ... 0.127 eV per atom
Uncorrected energy ... -5.32 eV/atom

Lattice parameters (Å, degrees): 5.2527 5.2527 5.2527 90.00 90.00 90.00
With the nearest neighbours (Å) after each atom.
Space group Pm-3m (No. 221)
One atom of each set of equivalent atoms:
1 Y 0.0000 0.0000 0.5000 [3 per cell]  2 Cu 2.63
2 Al 0.5000 0.5000 0.5000 [1 per cell]  12 Y 3.71
3 Cu 0.0000 0.0000 0.0000 [1 per cell]  6 Y 2.63

=====

Computed, not measured: an optimized crystal structure of Y2Al2Cu15 at the GGA-PBE level of DFT.

Calculated values
M_tot ... 0.0 Bohr magnetons per cell
Formation enthalpy at 0 K ... -0.178 eV per atom
Uncorrected energy ... -4.49 eV/atom

Lattice parameters (Å, degrees): 8.5661 8.5661 12.7120 90.00 90.00 120.00
With the nearest neighbours (Å) after each atom.
Space group R-3m (No. 166, hexagonal axes)
One atom of each set of equivalent atoms:
1 Y 0.0000 0.0000 0.1503 [6 per cell]  15 Cu 3.01-3.27, 1 Al 3.13
2 Al 0.0000 0.0000 0.3962 [6 per cell]  12 Cu 2.60-2.86, 1 Al 2.64
3 Cu 0.0000 0.2965 0.5000 [18 per cell]  8 Cu 2.49-2.65
4 Cu 0.0000 0.5000 0.0000 [9 per cell]  8 Cu 2.48-2.49, 2 Al 2.60
5 Cu 0.0000 0.5000 0.3483 [18 per cell]  8 Cu 2.48-2.65, 1 Al 2.66

=====

Computed, not measured: an optimized crystal structure of Y3Al3Cu8 at the GGA-PBE level of DFT.

Calculated values
M_tot ... 0.0 Bohr magnetons per cell
Formation enthalpy at 0 K ... -0.309 eV per atom
Uncorrected energy ... -4.84 eV/atom

Lattice parameters (Å, degrees): 4.2110 8.7849 12.6182 90.00 90.00 90.00
With the nearest neighbours (Å) after each atom.
Space group Immm (No. 71)
One atom of each set of equivalent atoms:
1 Y 0.0000 0.0000 0.0000 [2 per cell]  12 Cu 2.99-3.25, 4 Al 3.32
2 Y 0.0000 0.0000 0.2941 [4 per cell]  12 Cu 2.93-3.26, 2 Al 3.17
3 Al 0.0000 0.2072 0.5000 [4 per cell]  6 Cu 2.48-2.66
4 Al 0.0000 0.5000 0.0000 [2 per cell]  4 Cu 2.49, 4 Al 2.78
5 Cu 0.0000 0.2852 0.1289 [8 per cell]  3 Cu 2.49-2.64, 3 Al 2.49-2.66
6 Cu 0.0000 0.3549 0.3322 [8 per cell]  1 Al 2.48, 4 Cu 2.49-2.64

=====

Computed, not measured: an optimized crystal structure of Y2Al9Cu3 at the GGA-PBE level of DFT.

Calculated values
M_tot ... 0.0 Bohr magnetons per cell
Formation enthalpy at 0 K ... -0.296 eV per atom
Uncorrected energy ... -4.50 eV/atom

Lattice parameters (Å, degrees): 13.0879 7.4881 10.7490 90.00 114.67 90.00
With the nearest neighbours (Å) after each atom.
Space group C2/c (No. 15)
One atom of each set of equivalent atoms:
1 Y 0.1683 0.0830 0.2489 [8 per cell]  11 Al 3.08-3.12, 1 Cu 3.44
2 Al 0.0000 0.3709 0.2500 [4 per cell]  2 Cu 2.64, 6 Al 2.72-2.92
3 Al 0.0613 0.0831 0.9319 [8 per cell]  3 Cu 2.55-2.61, 4 Al 2.78-2.83
4 Al 0.1017 0.4164 0.0565 [8 per cell]  3 Cu 2.58-2.60, 4 Al 2.73-2.89
5 Al 0.1029 0.3136 0.7491 [8 per cell]  2 Cu 2.61-2.62, 6 Al 2.70-2.89
6 Al 0.2268 0.4163 0.4341 [8 per cell]  3 Cu 2.56-2.60, 5 Al 2.79-2.83
7 Cu 0.0855 0.2449 0.5025 [8 per cell]  8 Al 2.55-2.64
8 Cu 0.2500 0.2500 0.0000 [4 per cell]  8 Al 2.58-2.62

=====

Computed, not measured: an optimized crystal structure of Y2AlCu16 at the GGA-PBE level of DFT.

Calculated values
M_tot ... 0.0 Bohr magnetons per cell
Formation enthalpy at 0 K ... -0.156 eV per atom
Uncorrected energy ... -4.48 eV/atom

Lattice parameters (Å, degrees): 8.5625 8.5625 12.5873 90.00 90.00 120.00
With the nearest neighbours (Å) after each atom.
Space group R3m (No. 160, hexagonal axes)
One atom of each set of equivalent atoms:
1 Y 0.0000 0.0000 0.0000 [3 per cell]  15 Cu 3.01-3.27, 1 Al 3.19
2 Y 0.0000 0.0000 0.3090 [3 per cell]  19 Cu 3.03-3.30
3 Al 0.0000 0.0000 0.7468 [3 per cell]  7 Cu 2.47-2.69
4 Cu 0.0000 0.0000 0.5506 [3 per cell]  1 Al 2.47, 6 Cu 2.63-2.67
5 Cu 0.0001 0.2966 0.6483 [18 per cell]  8 Cu 2.47-2.63
6 Cu 0.9997 0.4999 0.8026 [9 per cell]  9 Cu 2.48-2.67
7 Cu 0.1670 0.3339 0.8298 [9 per cell]  8 Cu 2.48-2.63, 1 Al 2.69
8 Cu 0.1673 0.3346 0.4819 [9 per cell]  9 Cu 2.47-2.63, 1 Al 2.61